No. 1
## TlSi2W (PBE)

Data for TlSi2W after structural relaxation.

Results
calculated total energy	-5.897	eV/atom
magnetic moment	0.000	μB/atom

POSCAR file:
```
TlSi2W
1.0
-0.7322 -2.7930 0.7825
2.8923 0.2728 0.7137
-2.1497 2.7139 7.6749
Si Tl W
2 1 1
Direct
0.5000 0.5000 0.1942
0.0000 0.0000 0.0000
0.0000 0.0000 0.5060
0.5000 0.5000 0.7999
```

No. 2
## TlSiW2 (PBE)

Data for TlSiW2 after structural relaxation.

Results
calculated total energy	-7.571	eV/atom
magnetic moment	0.000	μB/atom

POSCAR file:
```
TlSiW2
1.0
5.0373 0.0048 0.0000
1.7956 4.7065 0.0000
-3.4165 -2.3556 2.8555
Tl W Si
1 2 1
Direct
0.7500 0.2500 0.5000
0.0000 0.0000 0.0000
0.2500 0.7500 0.5000
0.5000 0.5000 0.0000
```

No. 3
## TlSiW2 (PBE)

Data for TlSiW2 after structural relaxation.

Results
calculated total energy	-7.762	eV/atom
magnetic moment	0.000	μB/atom

POSCAR file:
```
TlSiW2
1.0
-9.4070 0.2563 -0.7454
-9.1373 -2.2665 0.6960
-9.1850 0.2549 2.1641
Tl Si W
1 1 2
Direct
0.7500 0.7500 0.7500
0.2500 0.2500 0.2500
0.5091 0.5091 0.5091
0.9909 0.9909 0.9909
```

No. 4
## Tl3SiW (PBE)

Data for Tl3SiW after structural relaxation.

Results
calculated total energy	-3.558	eV/atom
magnetic moment	0.820	μB/atom

POSCAR file:
```
Tl3SiW
1.0
-4.9335 1.5589 1.0330
-1.8041 -4.7347 -1.4712
0.4923 -1.7289 4.9604
Tl Si W
3 1 1
Direct
0.0000 0.0000 0.5000
0.0000 0.5000 0.0000
0.5000 0.0000 0.0000
0.0000 0.0000 0.0000
0.5000 0.5000 0.5000
```

No. 5
## TlSiW2 (PBE)

Data for TlSiW2 after structural relaxation.

Results
calculated total energy	-7.762	eV/atom
magnetic moment	0.000	μB/atom

POSCAR file:
```
TlSiW2
1.0
4.5283 0.0000 0.0000
0.0000 3.0354 0.0030
0.0000 1.5195 5.2012
W Si Tl
2 1 1
Direct
0.0000 0.0102 0.0559
0.5000 0.4750 0.2548
0.0000 0.3127 0.4599
0.5000 0.7021 0.7294
```

No. 6
## TlSiW2 (PBE)

Data for TlSiW2 after structural relaxation.

Results
calculated total energy	-7.548	eV/atom
magnetic moment	0.000	μB/atom

POSCAR file:
```
TlSiW2
1.0
3.2509 0.0000 0.0000
0.0000 4.7474 0.0000
0.0000 0.0000 4.4592
W Tl Si
2 1 1
Direct
0.5000 0.5000 0.0000
0.0000 0.0000 0.0000
0.0000 0.5000 0.5000
0.5000 0.0000 0.5000
```